Record 1
A plane-wave DFT calculation with PBE-GGA was carried out for a relaxed structure of CsCaTiBr6.

Unit cell a=7.228 b=12.536 c=8.089 alpha=90.00 beta=90.16 gamma=90.00
Space group C2 (No. 5)
Inequivalent atoms, fractional coordinates:
Cs (0.000, 0.000, 0.000) [2 per cell]
Ca (0.000, 0.666, 0.500) [2 per cell]
Ti (0.000, 0.333, 0.500) [2 per cell]
Br (0.127, 0.485, 0.692) [4 per cell]
Br (0.163, 0.194, 0.691) [4 per cell]
Br (0.208, 0.823, 0.689) [4 per cell]

For the uncorrected formation energy, the calculation gives -1.6116 eV per atom. For the volume, the calculation gives 732.9 Å³/cell. For the total magnetic moment, the calculation gives 2.0 Bohr magnetons per cell.

=====

Record 2
A plane-wave DFT calculation with PBE-GGA was carried out for a relaxed structure of CsCaTl2Br8.

Unit cell a=7.3122 b=7.3122 c=10.3784 alpha=90.00 beta=90.00 gamma=120.00
Space group P-3 (No. 147)
Inequivalent atoms, fractional coordinates:
Cs (0.0000, 0.0000, 0.0000) [1 per cell]
Ca (0.0000, 0.0000, 0.5000) [1 per cell]
Tl (0.3333, 0.6667, 0.7388) [2 per cell]
Br (0.0322, 0.7004, 0.3294) [6 per cell]
Br (0.3333, 0.6667, 0.9968) [2 per cell]

For the uncorrected formation energy, the calculation gives -1.0613 eV per atom. For the volume, the calculation gives 480.6 Å³/cell. For the total magnetic moment, the calculation gives 0.3 Bohr magnetons per cell.

=====

Record 3
A plane-wave DFT calculation with PBE-GGA was carried out for a relaxed structure of Cs3CaTl2Br9.

Unit cell a=8.2726 b=8.2726 c=10.1241 alpha=90.00 beta=90.00 gamma=120.00
Space group P-3m1 (No. 164)
Inequivalent atoms, fractional coordinates:
Cs (0.0000, 0.0000, 0.0000) [1 per cell]
Cs (0.3333, 0.6667, 0.6541) [2 per cell]
Ca (0.0000, 0.0000, 0.5000) [1 per cell]
Tl (0.3333, 0.6667, 0.1611) [2 per cell]
Br (0.0000, 0.5000, 0.0000) [3 per cell]
Br (0.1658, 0.3315, 0.3372) [6 per cell]

For the uncorrected formation energy, the calculation gives -1.3729 eV per atom. For the volume, the calculation gives 600.0 Å³/cell. For the total magnetic moment, the calculation gives 0.0 Bohr magnetons per cell.

=====

Record 4
A plane-wave DFT calculation with PBE-GGA was carried out for a relaxed structure of Cs2CaTlBr6.

Unit cell a=11.709 b=11.709 c=11.709 alpha=90.00 beta=90.00 gamma=90.00
Space group Fm-3m (No. 225)
Inequivalent atoms, fractional coordinates:
Cs (0.250, 0.250, 0.250) [8 per cell]
Ca (0.000, 0.000, 0.000) [4 per cell]
Tl (0.000, 0.000, 0.500) [4 per cell]
Br (0.000, 0.000, 0.246) [24 per cell]

For the uncorrected formation energy, the calculation gives -1.4869 eV per atom. For the volume, the calculation gives 1605.4 Å³/cell. For the total magnetic moment, the calculation gives 0.0 Bohr magnetons per cell.

=====

Record 5
A plane-wave DFT calculation with PBE-GGA was carried out for a relaxed structure of CsCaTl2Br5.

Unit cell a=5.579 b=8.119 c=16.014 alpha=90.00 beta=90.00 gamma=90.00
Space group Immm (No. 71)
Inequivalent atoms, fractional coordinates:
Cs (0.000, 0.000, 0.000) [2 per cell]
Ca (0.000, 0.000, 0.500) [2 per cell]
Tl (0.000, 0.500, 0.210) [4 per cell]
Br (0.000, 0.246, 0.368) [8 per cell]
Br (0.000, 0.500, 0.000) [2 per cell]

For the uncorrected formation energy, the calculation gives -1.4534 eV per atom. For the volume, the calculation gives 725.3 Å³/cell. For the total magnetic moment, the calculation gives 0.0 Bohr magnetons per cell.

=====

Record 6
A plane-wave DFT calculation with PBE-GGA was carried out for a relaxed structure of CsCaTlBr6.

Unit cell a=7.4354 b=7.4354 c=8.1133 alpha=90.00 beta=90.00 gamma=120.00
Space group P312 (No. 149)
Inequivalent atoms, fractional coordinates:
Cs (0.0000, 0.0000, 0.0000) [1 per cell]
Ca (0.3333, 0.6667, 0.5000) [1 per cell]
Tl (0.6667, 0.3333, 0.5000) [1 per cell]
Br (0.3811, 0.0104, 0.7045) [6 per cell]

For the uncorrected formation energy, the calculation gives -1.3054 eV per atom. For the volume, the calculation gives 388.5 Å³/cell. For the total magnetic moment, the calculation gives 0.0 Bohr magnetons per cell.

=====

Record 7
A plane-wave DFT calculation with PBE-GGA was carried out for a relaxed structure of Cs2CaTmBr6.

Unit cell a=8.059 b=11.399 c=8.052 alpha=90.00 beta=90.00 gamma=90.00
Space group Pmmn (No. 59, origin choice 2)
Inequivalent atoms, fractional coordinates:
Cs (0.250, 0.000, 0.250) [4 per cell]
Ca (0.250, 0.250, 0.749) [2 per cell]
Tm (0.250, 0.750, 0.750) [2 per cell]
Br (0.004, 0.750, 0.505) [4 per cell]
Br (0.004, 0.750, 0.996) [4 per cell]
Br (0.250, 0.504, 0.750) [4 per cell]

For the uncorrected formation energy, the calculation gives -1.7506 eV per atom. For the volume, the calculation gives 739.7 Å³/cell. For the total magnetic moment, the calculation gives 1.0 Bohr magnetons per cell.

=====

Record 8
A plane-wave DFT calculation with PBE-GGA was carried out for a relaxed structure of CsCaUBr6.

Unit cell a=7.6352 b=7.6352 c=15.9317 alpha=90.00 beta=90.00 gamma=120.00
Space group P-31c (No. 163)
Inequivalent atoms, fractional coordinates:
Cs (0.0000, 0.0000, 0.0000) [2 per cell]
Ca (0.3333, 0.6667, 0.2500) [2 per cell]
U (0.3333, 0.6667, 0.7500) [2 per cell]
Br (0.0000, 0.3802, 0.1437) [12 per cell]

For the uncorrected formation energy, the calculation gives -1.6690 eV per atom. For the volume, the calculation gives 804.3 Å³/cell. For the total magnetic moment, the calculation gives 6.0 Bohr magnetons per cell.

=====

Record 9
A plane-wave DFT calculation with PBE-GGA was carried out for a relaxed structure of Cs2CaUBr6.

Unit cell a=8.274 b=11.690 c=8.258 alpha=90.00 beta=90.00 gamma=90.00
Space group Pmmn (No. 59, origin choice 2)
Inequivalent atoms, fractional coordinates:
Cs (0.250, 0.001, 0.250) [4 per cell]
Ca (0.250, 0.250, 0.748) [2 per cell]
U (0.250, 0.750, 0.752) [2 per cell]
Br (0.003, 0.250, 0.500) [4 per cell]
Br (0.003, 0.250, 0.996) [4 per cell]
Br (0.250, 0.003, 0.749) [4 per cell]

For the uncorrected formation energy, the calculation gives -1.5243 eV per atom. For the volume, the calculation gives 798.7 Å³/cell. For the total magnetic moment, the calculation gives 7.9 Bohr magnetons per cell.

=====

Record 10
A plane-wave DFT calculation with PBE-GGA was carried out for a relaxed structure of Cs2CaVBr6.

Unit cell a=11.111 b=11.111 c=11.111 alpha=90.00 beta=90.00 gamma=90.00
Space group Fm-3m (No. 225)
Inequivalent atoms, fractional coordinates:
Cs (0.250, 0.250, 0.250) [8 per cell]
Ca (0.000, 0.000, 0.000) [4 per cell]
V (0.000, 0.000, 0.500) [4 per cell]
Br (0.000, 0.000, 0.260) [24 per cell]

For the uncorrected formation energy, the calculation gives -1.5714 eV per atom. For the volume, the calculation gives 1371.8 Å³/cell. Its energy above the most stable polymorph in this dataset is 17.7 meV per atom. For the total magnetic moment, the calculation gives 12.0 Bohr magnetons per cell.

=====

Record 11
A plane-wave DFT calculation with PBE-GGA was carried out for a relaxed structure of Cs2CaVBr6.

Unit cell a=7.8912 b=7.8912 c=39.5059 alpha=90.00 beta=90.00 gamma=120.00
Space group R-3m (No. 166, hexagonal axes)
Inequivalent atoms, fractional coordinates:
Cs (0.0000, 0.0000, 0.1259) [6 per cell]
Cs (0.0000, 0.0000, 0.2926) [6 per cell]
Ca (0.0000, 0.0000, 0.4129) [6 per cell]
V (0.0000, 0.0000, 0.0000) [3 per cell]
V (0.0000, 0.0000, 0.5000) [3 per cell]
Br (0.0163, 0.5081, 0.1276) [18 per cell]
Br (0.0165, 0.5082, 0.7057) [18 per cell]

For the uncorrected formation energy, the calculation gives -1.5891 eV per atom. For the volume, the calculation gives 2130.5 Å³/cell. Its energy above the most stable polymorph in this dataset is 0.0 meV per atom. For the total magnetic moment, the calculation gives 18.0 Bohr magnetons per cell.

=====

Record 12
A plane-wave DFT calculation with PBE-GGA was carried out for a relaxed structure of CsCaV2Br.

Unit cell a=4.685 b=4.685 c=5.777 alpha=90.00 beta=90.00 gamma=90.00
Space group P4/mmm (No. 123)
Inequivalent atoms, fractional coordinates:
Cs (0.000, 0.000, 0.000) [1 per cell]
Ca (0.500, 0.500, 0.000) [1 per cell]
V (0.000, 0.500, 0.500) [2 per cell]
Br (0.500, 0.500, 0.500) [1 per cell]

For the uncorrected formation energy, the calculation gives 1.1127 eV per atom. For the volume, the calculation gives 126.8 Å³/cell. For the total magnetic moment, the calculation gives 3.8 Bohr magnetons per cell.